The following is a PBE calculation of a geometry-optimized KMn2Te structure, from Alexandria.

Cell: 5.2027 5.2027 19.1821 Å, 90.00 90.00 90.00°
Closest atoms and distances in Å follow each position.
Element x y z (fractional)
K 0.0000 0.2500 0.3750  4 Te 3.68, 8 Mn 3.77
K 0.0000 0.7500 0.6250  4 Te 3.68, 8 Mn 3.77
K 0.5000 0.2500 0.1250  4 Te 3.68, 8 Mn 3.77
K 0.5000 0.7500 0.8750  4 Te 3.68, 8 Mn 3.77
Mn 0.0000 0.0000 0.0000  2 Mn 2.60, 2 Te 2.73
Mn 0.0000 0.5000 0.0000  2 Mn 2.60, 2 Te 2.73
Mn 0.2500 0.2500 0.7500  2 Mn 2.60, 2 Te 2.73
Mn 0.2500 0.7500 0.2500  2 Mn 2.60, 2 Te 2.73
Mn 0.5000 0.0000 0.5000  2 Mn 2.60, 2 Te 2.73
Mn 0.5000 0.5000 0.5000  2 Mn 2.60, 2 Te 2.73
Mn 0.7500 0.2500 0.7500  2 Mn 2.60, 2 Te 2.73
Mn 0.7500 0.7500 0.2500  2 Mn 2.60, 2 Te 2.73
Te 0.0000 0.2500 0.8750  4 Mn 2.73
Te 0.0000 0.7500 0.1250  4 Mn 2.73
Te 0.5000 0.2500 0.6250  4 Mn 2.73
Te 0.5000 0.7500 0.3750  4 Mn 2.73

Properties
* formation energy without anion corrections: 436 meV per atom
* density of states at the Fermi level: 1.016 states/eV/atom
* symmetry: I4_1/amd

=====

The following is a PBE calculation of a geometry-optimized Ce2CN structure, from Alexandria.

Cell: 3.5462 3.5462 18.3670 Å, 90.00 90.00 120.00°
Closest atoms and distances in Å follow each position.
Element x y z (fractional)
Ce 0.0000 0.0000 0.0000  3 N 2.51, 3 C 2.55
Ce 0.0000 0.0000 0.1684  3 C 2.54, 3 N 2.63
Ce 0.3333 0.6667 0.6667  3 N 2.51, 3 C 2.55
Ce 0.3333 0.6667 0.8351  3 C 2.54, 3 N 2.63
Ce 0.6667 0.3333 0.3333  3 N 2.51, 3 C 2.55
Ce 0.6667 0.3333 0.5017  3 C 2.54, 3 N 2.63
C 0.0000 0.0000 0.5839  6 Ce 2.54-2.55
C 0.3333 0.6667 0.2506  6 Ce 2.54-2.55
C 0.6667 0.3333 0.9173  6 Ce 2.54-2.55
N 0.0000 0.0000 0.4119  6 Ce 2.51-2.63
N 0.3333 0.6667 0.0786  6 Ce 2.51-2.63
N 0.6667 0.3333 0.7453  6 Ce 2.51-2.63

Properties
* formation energy without anion corrections: -625 meV per atom
* energy above the lowest structure with this stoichiometry: 163 meV per atom
* density of states at the Fermi level: 1.135 states/eV/atom
* symmetry: R3m

=====

The following is a PBE calculation of a geometry-optimized Ac8Ni3OsCl4 structure, from Alexandria.

Cell: 9.3816 9.3816 9.3816 Å, 54.47 54.47 54.47°
Closest atoms and distances in Å follow each position.
Element x y z (fractional)
Ac 0.2328 0.2328 0.2328  3 Ni 2.94
Ac 0.2367 0.7328 0.7328  1 Os 2.94, 2 Ni 2.96
Ac 0.2672 0.2672 0.7633  1 Os 2.94, 2 Ni 2.96
Ac 0.2672 0.7633 0.2672  1 Os 2.94, 2 Ni 2.96
Ac 0.7328 0.2367 0.7328  1 Os 2.94, 2 Ni 2.96
Ac 0.7328 0.7328 0.2367  1 Os 2.94, 2 Ni 2.96
Ac 0.7633 0.2672 0.2672  1 Os 2.94, 2 Ni 2.96
Ac 0.7672 0.7672 0.7672  3 Ni 2.94
Ni 0.0000 0.0000 0.5000  6 Ac 2.94-2.96
Ni 0.0000 0.5000 0.0000  6 Ac 2.94-2.96
Ni 0.5000 0.0000 0.0000  6 Ac 2.94-2.96
Os 0.5000 0.5000 0.5000  6 Ac 2.94
Cl 0.0000 0.0000 0.0000  6 Ac 3.44
Cl 0.0000 0.5000 0.5000  6 Ac 3.42-3.45
Cl 0.5000 0.0000 0.5000  6 Ac 3.42-3.45
Cl 0.5000 0.5000 0.0000  6 Ac 3.42-3.45

Properties
* formation energy without anion corrections: -941 meV per atom
* density of states at the Fermi level: 0.611 states/eV/atom
* symmetry: R-3m

=====

The following is a PBE calculation of a geometry-optimized Sr2AcSnS4 structure, from Alexandria.

Cell: 8.5424 8.5424 8.5424 Å, 120.66 119.23 90.10°
Closest atoms and distances in Å follow each position.
Element x y z (fractional)
Sr 0.0000 0.0000 0.0000  6 S 3.03-3.04
Sr 0.5000 0.0000 0.0000  6 S 3.01-3.03
Sr 0.5000 0.0000 0.5000  6 S 3.03-3.04
Sr 0.5000 0.5000 0.5000  6 S 3.01-3.03
Ac 0.0000 0.0000 0.5000  6 S 3.01-3.03
Ac 0.0000 0.5000 0.0000  6 S 3.01-3.03
Sn 0.0000 0.5000 0.5000  6 S 3.00
Sn 0.5000 0.5000 0.0000  6 S 3.00
S 0.2492 0.2527 0.5036  2 Sn 3.00, 1 Ac 3.01, 3 Sr 3.03-3.04
S 0.2492 0.7456 0.9964  2 Sn 3.00, 1 Ac 3.01, 3 Sr 3.03-3.04
S 0.2506 0.7488 0.5018  1 Sn 3.00, 3 Sr 3.01-3.03, 2 Ac 3.03
S 0.2529 0.2512 0.0018  1 Sn 3.00, 3 Sr 3.01-3.03, 2 Ac 3.03
S 0.7471 0.7488 0.9982  1 Sn 3.00, 3 Sr 3.01-3.03, 2 Ac 3.03
S 0.7494 0.2512 0.4982  1 Sn 3.00, 3 Sr 3.01-3.03, 2 Ac 3.03
S 0.7508 0.2544 0.0036  2 Sn 3.00, 1 Ac 3.01, 3 Sr 3.03-3.04
S 0.7508 0.7473 0.4964  2 Sn 3.00, 1 Ac 3.01, 3 Sr 3.03-3.04

Properties
* formation energy without anion corrections: -1622 meV per atom
* density of states at the Fermi level: 0.297 states/eV/atom
* symmetry: Imma

=====

The following is a PBE calculation of a geometry-optimized ReSi2Ru structure, from Alexandria.

Cell: 2.9665 2.9665 5.9120 Å, 90.00 90.00 90.00°
Closest atoms and distances in Å follow each position.
Element x y z (fractional)
Re 0.0000 0.0000 0.0000  8 Si 2.57
Si 0.5000 0.5000 0.2498  4 Re 2.57, 4 Ru 2.57
Si 0.5000 0.5000 0.7502  4 Re 2.57, 4 Ru 2.57
Ru 0.0000 0.0000 0.5000  8 Si 2.57

Properties
* formation energy without anion corrections: -394 meV per atom
* density of states at the Fermi level: 0.613 states/eV/atom
* symmetry: P4/mmm

=====

The following is a PBE calculation of a geometry-optimized Tb8Sb2Pb structure, from Alexandria.

Cell: 9.8797 9.8797 7.3567 Å, 98.60 98.60 28.32°
Closest atoms and distances in Å follow each position.
Element x y z (fractional)
Tb 0.0158 0.0158 0.2489  2 Pb 3.08, 1 Sb 3.13
Tb 0.2157 0.2157 0.8525  3 Sb 3.21-3.33, 6 Tb 3.38-3.59
Tb 0.3354 0.3354 0.4759  3 Sb 3.12-3.14, 1 Pb 3.13, 2 Tb 3.45
Tb 0.4034 0.4034 0.0054  2 Sb 3.37, 8 Tb 3.54-3.72
Tb 0.5966 0.5966 0.9946  2 Sb 3.37, 8 Tb 3.54-3.72
Tb 0.6646 0.6646 0.5241  3 Sb 3.12-3.14, 1 Pb 3.13, 2 Tb 3.45
Tb 0.7843 0.7843 0.1475  3 Sb 3.21-3.33, 6 Tb 3.38-3.59
Tb 0.9842 0.9842 0.7511  2 Pb 3.08, 1 Sb 3.13
Sb 0.1802 0.1802 0.2644  9 Tb 3.12-3.37
Sb 0.8198 0.8198 0.7356  9 Tb 3.12-3.37
Pb 0.5000 0.5000 0.5000  6 Tb 3.08-3.13

Properties
* formation energy without anion corrections: -424 meV per atom
* density of states at the Fermi level: 1.121 states/eV/atom
* symmetry: C2/m

=====

The following is a PBE calculation of a geometry-optimized ScMnN3 structure, from Alexandria.

Cell: 3.9967 3.9967 3.9967 Å, 90.00 90.00 90.00°
Closest atoms and distances in Å follow each position.
Element x y z (fractional)
Sc 0.0000 0.0000 0.0000  6 N 2.00
Mn 0.5000 0.5000 0.5000  12 N 2.83
N 0.0000 0.0000 0.5000  2 Sc 2.00
N 0.0000 0.5000 0.0000  2 Sc 2.00
N 0.5000 0.0000 0.0000  2 Sc 2.00

Properties
* formation energy without anion corrections: 1610 meV per atom
* density of states at the Fermi level: 1.459 states/eV/atom
* symmetry: Pm-3m

=====

The following is a PBE calculation of a geometry-optimized RbY2As structure, from Alexandria.

Cell: 6.9962 6.9962 17.1427 Å, 90.00 90.00 90.00°
Closest atoms and distances in Å follow each position.
Element x y z (fractional)
Rb 0.0000 0.0000 0.0000  8 Y 4.45-4.46, 4 As 4.95
Rb 0.0000 0.5000 0.2500  8 Y 4.45-4.46, 4 As 4.95
Rb 0.5000 0.0000 0.7500  8 Y 4.45-4.46, 4 As 4.95
Rb 0.5000 0.5000 0.5000  8 Y 4.45-4.46, 4 As 4.95
Y 0.0009 0.2500 0.6250  2 As 2.77
Y 0.2500 0.5009 0.8750  2 As 2.77
Y 0.2500 0.9991 0.3750  2 As 2.77
Y 0.4991 0.2500 0.1250  2 As 2.77
Y 0.5009 0.7500 0.1250  2 As 2.77
Y 0.7500 0.0009 0.3750  2 As 2.77
Y 0.7500 0.4991 0.8750  2 As 2.77
Y 0.9991 0.7500 0.6250  2 As 2.77
As 0.0000 0.0000 0.5000  4 Y 2.77
As 0.0000 0.5000 0.7500  4 Y 2.77
As 0.5000 0.0000 0.2500  4 Y 2.77
As 0.5000 0.5000 0.0000  4 Y 2.77

Properties
* formation enthalpy at 0 K: 76 meV/atom
* density of states at the Fermi level: 1.074 states/eV/atom
* symmetry: I-42d

=====

The following is a PBE calculation of a geometry-optimized InCNO2 structure, from Alexandria.

Cell: 4.2300 4.2300 2.6198 Å, 90.00 90.00 90.00°
Closest atoms and distances in Å follow each position.
Element x y z (fractional)
In 0.0000 0.0000 0.0000  8 O 2.49, 2 In 2.62
C 0.5000 0.5000 0.5000  2 N 1.31
N 0.5000 0.5000 0.0000  2 C 1.31
O 0.0000 0.5000 0.5000  2 C 2.12
O 0.5000 0.0000 0.5000  2 C 2.12

Properties
* formation energy without anion corrections: 633 meV per atom
* density of states at the Fermi level: 0.179 states/eV/atom
* symmetry: P4/mmm

=====

The following is a PBE calculation of a geometry-optimized ZnFeRu2 structure, from Alexandria.

Cell: 2.7841 4.4861 8.8223 Å, 90.00 90.00 90.00°
Closest atoms and distances in Å follow each position.
Element x y z (fractional)
Zn 0.0000 0.0000 0.0000  2 Fe 2.57, 6 Zn 2.64-2.78, 2 Ru 2.65
Zn 0.5000 0.5000 0.0000  2 Fe 2.57, 6 Zn 2.64-2.78, 2 Ru 2.65
Fe 0.0000 0.5000 0.2445  2 Ru 2.55, 2 Zn 2.57, 6 Fe 2.64-2.78
Fe 0.5000 0.0000 0.2445  2 Ru 2.55, 2 Zn 2.57, 6 Fe 2.64-2.78
Ru 0.0000 0.0000 0.4870  2 Fe 2.55, 8 Ru 2.64-2.78
Ru 0.0000 0.5000 0.7443  8 Ru 2.64-2.78, 2 Zn 2.65
Ru 0.5000 0.0000 0.7443  8 Ru 2.64-2.78, 2 Zn 2.65
Ru 0.5000 0.5000 0.4870  2 Fe 2.55, 8 Ru 2.64-2.78

Properties
* formation enthalpy at 0 K: 268 meV/atom
* density of states at the Fermi level: 1.445 states/eV/atom
* symmetry: Cmm2

=====

The following is a PBE calculation of a geometry-optimized ZrZnNiRu structure, from Alexandria.

Cell: 6.2328 6.2328 6.2328 Å, 90.00 90.00 90.00°
Closest atoms and distances in Å follow each position.
Element x y z (fractional)
Zr 0.0000 0.0000 0.0000  4 Ru 2.70, 4 Ni 2.70
Zr 0.0000 0.5000 0.5000  4 Ru 2.70, 4 Ni 2.70
Zr 0.5000 0.0000 0.5000  4 Ru 2.70, 4 Ni 2.70
Zr 0.5000 0.5000 0.0000  4 Ru 2.70, 4 Ni 2.70
Zn 0.0000 0.0000 0.5000  4 Ni 2.70, 4 Ru 2.70
Zn 0.0000 0.5000 0.0000  4 Ni 2.70, 4 Ru 2.70
Zn 0.5000 0.0000 0.0000  4 Ni 2.70, 4 Ru 2.70
Zn 0.5000 0.5000 0.5000  4 Ni 2.70, 4 Ru 2.70
Ni 0.2500 0.2500 0.2500  4 Zr 2.70, 4 Zn 2.70
Ni 0.2500 0.7500 0.7500  4 Zr 2.70, 4 Zn 2.70
Ni 0.7500 0.2500 0.7500  4 Zr 2.70, 4 Zn 2.70
Ni 0.7500 0.7500 0.2500  4 Zr 2.70, 4 Zn 2.70
Ru 0.2500 0.2500 0.7500  4 Zr 2.70, 4 Zn 2.70
Ru 0.2500 0.7500 0.2500  4 Zr 2.70, 4 Zn 2.70
Ru 0.7500 0.2500 0.2500  4 Zr 2.70, 4 Zn 2.70
Ru 0.7500 0.7500 0.7500  4 Zr 2.70, 4 Zn 2.70

Properties
* formation enthalpy at 0 K: -354 meV/atom
* energy above the lowest structure with this stoichiometry: 36 meV per atom
* density of states at the Fermi level: 0.270 states/eV/atom
* symmetry: F-43m

=====

> Which formula does entry 6 have?

Tb8Sb2Pb

=====

Please write out number 4 again, unchanged.
The following is a PBE calculation of a geometry-optimized Sr2AcSnS4 structure, from Alexandria.

Cell: 8.5424 8.5424 8.5424 Å, 120.66 119.23 90.10°
Closest atoms and distances in Å follow each position.
Element x y z (fractional)
Sr 0.0000 0.0000 0.0000  6 S 3.03-3.04
Sr 0.5000 0.0000 0.0000  6 S 3.01-3.03
Sr 0.5000 0.0000 0.5000  6 S 3.03-3.04
Sr 0.5000 0.5000 0.5000  6 S 3.01-3.03
Ac 0.0000 0.0000 0.5000  6 S 3.01-3.03
Ac 0.0000 0.5000 0.0000  6 S 3.01-3.03
Sn 0.0000 0.5000 0.5000  6 S 3.00
Sn 0.5000 0.5000 0.0000  6 S 3.00
S 0.2492 0.2527 0.5036  2 Sn 3.00, 1 Ac 3.01, 3 Sr 3.03-3.04
S 0.2492 0.7456 0.9964  2 Sn 3.00, 1 Ac 3.01, 3 Sr 3.03-3.04
S 0.2506 0.7488 0.5018  1 Sn 3.00, 3 Sr 3.01-3.03, 2 Ac 3.03
S 0.2529 0.2512 0.0018  1 Sn 3.00, 3 Sr 3.01-3.03, 2 Ac 3.03
S 0.7471 0.7488 0.9982  1 Sn 3.00, 3 Sr 3.01-3.03, 2 Ac 3.03
S 0.7494 0.2512 0.4982  1 Sn 3.00, 3 Sr 3.01-3.03, 2 Ac 3.03
S 0.7508 0.2544 0.0036  2 Sn 3.00, 1 Ac 3.01, 3 Sr 3.03-3.04
S 0.7508 0.7473 0.4964  2 Sn 3.00, 1 Ac 3.01, 3 Sr 3.03-3.04

Properties
* formation energy without anion corrections: -1622 meV per atom
* density of states at the Fermi level: 0.297 states/eV/atom
* symmetry: Imma